HfMnTl2O | PBE+U | optimized geometry

Summary:
- Total moment: 4.9 μB per formula unit
- Calculated total energy: -5.748 eV per atom

Cell: 5.9310 3.9117 5.9310 Å, 90.00 90.00 90.00°
Fractional positions:
Tl (0.0000, 0.0000, 0.5000)
Tl (0.5000, 0.0000, 0.0000)
Mn (0.5000, 0.5000, 0.5000)
Hf (0.0000, 0.0000, 0.0000)
O (0.0000, 0.5000, 0.0000)